# 1
VASP calculation (PBE) on Rb2ErZn2O4 after structural relaxation.

abc: 3.378 7.367 6.925
angles: 109.03 90.00 103.25
Atoms (fractional coordinates):
O 0.168 0.337 0.189
O 0.540 0.081 0.821
O 0.460 0.919 0.179
O 0.832 0.663 0.811
Rb 0.873 0.747 0.447
Rb 0.127 0.253 0.553
Zn 0.319 0.639 0.966
Zn 0.681 0.361 0.034
Er 0.000 0.000 0.000

symmetry: C2/m
total DFT energy (no corrections): -44.6 eV/cell

***

# 2
VASP calculation (PBE) on ErReO6 after structural relaxation.

abc: 4.323 4.323 5.026
angles: 96.04 96.04 99.24
Atoms (fractional coordinates):
Re 0.500 0.500 0.500
O 0.782 0.782 0.339
O 0.165 0.545 0.239
O 0.545 0.165 0.239
O 0.835 0.455 0.761
O 0.455 0.835 0.761
O 0.218 0.218 0.661
Er 0.000 0.000 0.000

symmetry: C2/m
total DFT energy (no corrections): -59.7 eV/cell

***

# 3
VASP calculation (PBE) on ErReO4 after structural relaxation.

abc: 5.320 7.948 7.498
angles: 102.94 90.00 90.00
Atoms (fractional coordinates):
O 0.003 0.356 0.370
O 0.513 0.007 0.215
O 0.487 0.993 0.785
O 0.000 0.375 0.820
O 0.497 0.356 0.870
O 0.503 0.644 0.130
O 0.500 0.375 0.320
O 0.000 0.625 0.180
O 0.987 0.007 0.715
O 0.144 0.190 0.049
O 0.856 0.810 0.951
O 0.356 0.190 0.549
O 0.500 0.625 0.680
O 0.997 0.644 0.630
O 0.644 0.810 0.451
O 0.013 0.993 0.285
Re 0.747 0.832 0.707
Re 0.253 0.168 0.293
Re 0.247 0.168 0.793
Re 0.753 0.832 0.207
Er 0.223 0.611 0.899
Er 0.723 0.389 0.601
Er 0.777 0.389 0.101
Er 0.277 0.611 0.399

symmetry: P2_1/c
total DFT energy (no corrections): -204.7 eV/cell

***

# 4
VASP calculation (PBE) on ErReO5 after structural relaxation.

abc: 5.476 5.476 7.535
angles: 69.73 69.73 70.71
Atoms (fractional coordinates):
O 0.794 0.753 0.118
O 0.722 0.305 0.539
O 0.922 0.078 0.250
O 0.753 0.794 0.618
O 0.278 0.695 0.461
O 0.078 0.922 0.750
O 0.695 0.278 0.961
O 0.247 0.206 0.382
O 0.206 0.247 0.882
O 0.305 0.722 0.039
Re 0.000 0.000 0.000
Re 0.000 0.000 0.500
Er 0.450 0.550 0.750
Er 0.550 0.450 0.250

symmetry: C2/c
total DFT energy (no corrections): -115.3 eV/cell

***

# 5
VASP calculation (PBE) on Er3ReO7 after structural relaxation.

abc: 6.429 6.429 7.364
angles: 90.00 90.00 108.65
Atoms (fractional coordinates):
Er 0.465 0.999 0.757
Er 0.536 0.536 0.000
Er 0.535 0.001 0.257
Er 0.001 0.535 0.743
Er 0.464 0.464 0.500
Er 0.999 0.465 0.243
O 0.672 0.917 0.976
O 0.083 0.328 0.524
O 0.369 0.631 0.250
O 0.053 0.311 0.962
O 0.311 0.053 0.038
O 0.328 0.083 0.476
O 0.362 0.638 0.750
O 0.689 0.947 0.538
O 0.917 0.672 0.024
O 0.947 0.689 0.462
O 0.631 0.369 0.750
O 0.638 0.362 0.250
O 0.074 0.926 0.750
O 0.926 0.074 0.250
Re 0.999 0.999 0.500
Re 0.001 0.001 0.000

symmetry: C222_1
total DFT energy (no corrections): -186.5 eV/cell

***

# 6
VASP calculation (PBE) on Er6ReO12 after structural relaxation.

abc: 6.422 6.422 6.422
angles: 98.76 98.76 98.76
Atoms (fractional coordinates):
Er 0.856 0.390 0.683
Er 0.144 0.610 0.317
Er 0.610 0.317 0.144
Er 0.317 0.144 0.610
Er 0.390 0.683 0.856
Er 0.683 0.856 0.390
O 0.037 0.703 0.923
O 0.823 0.569 0.410
O 0.569 0.410 0.823
O 0.431 0.590 0.177
O 0.963 0.297 0.077
O 0.177 0.431 0.590
O 0.410 0.823 0.569
O 0.923 0.037 0.703
O 0.297 0.077 0.963
O 0.077 0.963 0.297
O 0.703 0.923 0.037
O 0.590 0.177 0.431
Re 0.000 0.000 0.000

symmetry: R-3
total DFT energy (no corrections): -160.5 eV/cell

***

# 7
VASP calculation (PBE) on Er5Re2O12 after structural relaxation.

abc: 6.791 6.791 7.489
angles: 73.77 73.77 49.09
Atoms (fractional coordinates):
O 0.998 0.998 0.793
O 0.002 0.002 0.207
O 0.501 0.501 0.821
O 0.594 0.098 0.573
O 0.499 0.499 0.179
O 0.098 0.594 0.573
O 0.913 0.420 0.914
O 0.087 0.580 0.086
O 0.406 0.902 0.427
O 0.420 0.913 0.914
O 0.902 0.406 0.427
O 0.580 0.087 0.086
Er 0.686 0.686 0.177
Er 0.303 0.303 0.359
Er 0.314 0.314 0.823
Er 0.000 0.000 0.500
Er 0.697 0.697 0.641
Re 0.785 0.215 0.000
Re 0.215 0.785 0.000

symmetry: C2/m
total DFT energy (no corrections): -163.0 eV/cell

***

# 8
VASP calculation (PBE) on ErReO4 after structural relaxation.

abc: 6.072 6.072 6.072
angles: 107.88 107.88 112.71
Atoms (fractional coordinates):
O 0.055 0.738 0.683
O 0.629 0.945 0.683
O 0.695 0.879 0.183
O 0.262 0.945 0.317
O 0.055 0.371 0.317
O 0.695 0.512 0.817
O 0.121 0.305 0.817
O 0.488 0.305 0.183
Re 0.250 0.750 0.500
Re 0.500 0.500 0.000
Er 0.750 0.250 0.500
Er 0.000 0.000 0.000

symmetry: I4_1/amd
total DFT energy (no corrections): -100.2 eV/cell

***

Formation energy (no corrections) values (in kcal/mol of atoms) by entry order: -40.41 -37.33 -55.04 -52.23 -67.91 -74.21 -67.75 -50.99.